Below is crystalline FePdF2 at its relaxed geometry, with properties calculated at the PBE+U level.

The space group is Fm-3m (No. 225) and the conventional cell measures 5.825, 5.825 and 5.825 Å, with angles of 90.00, 90.00 and 90.00 degrees. The distinct sites, in fractional coordinates, are Fe at (0.000, 0.000, 0.000), Pd at (0.000, 0.000, 0.500) and F at (0.250, 0.250, 0.250).

As for the electronic total energy: -4.335 eV/atom. The value obtained for the relative energy among the computed polymorphs is 404.1 meV per atom.